(1)
Crystalline Cu2AsH at its relaxed geometry, computed with PBE.

Properties
DOS(E_F) = 2.071 states/eV/f.u.
M_tot = 0.0 μB per formula unit
symmetry = Fm-3m (225)
excess energy over the best structure of this formula in the dataset = 288.4 meV/atom

```
Cu2AsH
1.0
-2.811 0.129 2.961
-3.945 0.473 -0.948
-2.604 -3.111 0.481
Cu H As
2 1 1
direct
0.750 0.750 0.750
0.250 0.250 0.250
0.000 0.000 0.000
0.500 0.500 0.500
```

(2)
Crystalline LiDyInCu at its relaxed geometry, computed with PBE.

Properties
energy of formation from the pure elements = -0.363 eV/atom
DOS(E_F) = 0.900 states/eV/f.u.
M_tot = 0.0 μB per formula unit
symmetry = F-43m (216)

```
LiDyInCu
1.0
-1.090 3.703 2.729
0.971 -0.105 4.625
3.434 2.733 1.757
Dy Cu Li In
1 1 1 1
direct
0.500 0.500 0.500
0.750 0.750 0.750
0.250 0.250 0.250
0.000 0.000 0.000
```

(3)
Crystalline Rb2TaW at its relaxed geometry, computed with PBE.

Properties
energy of formation from the pure elements = 3.068 eV/atom
DOS(E_F) = 15.441 states/eV/f.u.
M_tot = 5.2 μB per formula unit
symmetry = Fm-3m (225)
excess energy over the best structure of this formula in the dataset = 1085.8 meV/atom

```
Rb2TaW
1.0
2.488 -5.078 -0.546
-1.386 -3.390 -4.343
3.720 -0.904 -4.198
Rb Ta W
2 1 1
direct
0.750 0.750 0.750
0.250 0.250 0.250
0.000 0.000 0.000
0.500 0.500 0.500
```

(4)
Crystalline Ag2Pd3Au4 at its relaxed geometry, computed with PBE.

Properties
energy of formation from the pure elements = -0.081 eV/atom
DOS(E_F) = 3.637 states/eV/f.u.
M_tot = 0.0 μB per formula unit
symmetry = P-1 (2)
excess energy over the best structure of this formula in the dataset = 0.0 meV/atom

```
Ag2Pd3Au4
1.0
-3.557 2.070 0.001
-3.610 -2.112 -2.692
-3.545 -6.073 5.026
Pd Au Ag
3 4 2
direct
0.335 0.329 0.445
0.665 0.671 0.555
0.000 0.000 0.000
0.004 0.991 0.336
0.335 0.331 0.111
0.996 0.009 0.664
0.665 0.669 0.889
0.331 0.339 0.775
0.669 0.661 0.225
```